Record 1
! BaNa4Cd4 (GGA-PBE, optimized geometry); values from VASP
&SYSTEM
  ibrav = 0, nat = 18, ntyp = 3
/
ATOMIC_SPECIES
Ba 137.33 Ba.upf
Na 22.99 Na.upf
Cd 112.41 Cd.upf
CELL_PARAMETERS angstrom
7.412 0.000 0.000
0.000 7.412 0.000
0.000 0.000 10.687
ATOMIC_POSITIONS crystal
Ba 0.000 0.000 0.000
Ba 0.500 0.500 0.500
Na 0.238 0.500 0.900
Na 0.762 0.500 0.900
Na 0.500 0.762 0.100
Na 0.500 0.238 0.100
Na 0.000 0.738 0.400
Na 0.000 0.262 0.400
Na 0.262 0.000 0.600
Na 0.738 0.000 0.600
Cd 0.500 0.803 0.804
Cd 0.500 0.197 0.804
Cd 0.803 0.500 0.196
Cd 0.197 0.500 0.196
Cd 0.303 0.000 0.304
Cd 0.697 0.000 0.304
Cd 0.000 0.303 0.696
Cd 0.000 0.697 0.696
! Magnetization ... 0.00 μB per formula unit
! Raw total energy ... -1.25 eV/atom
! Space group ... P4_2/nmc
! ΔE_f ... -0.04 eV/atom

=====

Record 2
! Np4Cu5P7 (GGA-PBE, optimized geometry); values from VASP
&SYSTEM
  ibrav = 0, nat = 16, ntyp = 3
/
ATOMIC_SPECIES
Np 237.00 Np.upf
Cu 63.55 Cu.upf
P 30.97 P.upf
CELL_PARAMETERS angstrom
-4.432 -0.125 -2.796
-1.124 -4.716 1.993
-1.947 6.633 7.704
ATOMIC_POSITIONS crystal
Np 0.144 0.144 0.773
Np 0.629 0.629 0.773
Np 0.856 0.371 0.227
Np 0.371 0.856 0.227
Cu 0.750 0.750 0.500
Cu 0.250 0.250 0.500
Cu 0.250 0.750 0.500
Cu 0.750 0.250 0.500
Cu 0.000 0.000 0.000
P 0.923 0.923 0.340
P 0.417 0.417 0.340
P 0.077 0.583 0.660
P 0.583 0.077 0.660
P 0.500 0.500 0.000
P 0.500 0.000 0.000
P 0.000 0.500 0.000
! Magnetization ... 14.31 μB per formula unit
! Raw total energy ... -7.37 eV/atom
! Space group ... I-42m
! ΔE_f ... -0.48 eV/atom

=====

Record 3
! CdInSBr (GGA-PBE, optimized geometry); values from VASP
&SYSTEM
  ibrav = 0, nat = 4, ntyp = 4
/
ATOMIC_SPECIES
Cd 112.41 Cd.upf
In 114.82 In.upf
S 32.06 S.upf
Br 79.90 Br.upf
CELL_PARAMETERS angstrom
-0.732 1.790 3.463
1.408 -1.549 3.369
7.575 4.882 -0.931
ATOMIC_POSITIONS crystal
Cd 0.239 0.239 0.486
In 0.239 0.239 0.182
S 0.573 0.573 0.054
Br 0.906 0.906 0.662
! Raw formation energy ... -2.25 eV/f.u.
! Magnetization ... 0.00 μB per formula unit
! Raw total energy ... -2.93 eV/atom
! Space group ... P3m1

=====

Sequential DOS at the Fermi energy output: 11.90, 30.07, 0.00 states/eV/cell